Compound: MnPt3O
Source: Alexandria
Functional: GGA+U
Structure: relaxed

Its density of states at the Fermi level is 0.755 states/eV per atom. The value obtained for the excess energy over the best structure of this formula in the dataset is 0.00 kJ/mol of atoms. As for the magnetic moment: 5.0 μB per formula unit. The total energy comes out at -29.1 eV/f.u.

The space group is Pm-3m (No. 221) and the conventional cell measures 4.2844, 4.2844 and 4.2844 Å, with angles of 90.00, 90.00 and 90.00 degrees. The inequivalent atoms are Mn at (0.0000, 0.0000, 0.0000), Pt at (0.0000, 0.5000, 0.5000) and O at (0.5000, 0.5000, 0.5000).